## 1
# Mn3C4, relaxed, DFT PBE-GGA
data_Mn3C4
_chemical_formula_sum 'Mn3 C4'
_cell_length_a 3.9466
_cell_length_b 3.9466
_cell_length_c 3.9466
_cell_angle_alpha 90.00
_cell_angle_beta 90.00
_cell_angle_gamma 90.00
_symmetry_space_group_name_H-M 'P 1'
_symmetry_Int_Tables_number 1
loop_
_symmetry_equiv_pos_as_xyz
'x,y,z'
loop_
_atom_site_label
_atom_site_type_symbol
_atom_site_fract_x
_atom_site_fract_y
_atom_site_fract_z
Mn1 Mn 0.0000 0.0000 0.5000
Mn2 Mn 0.0000 0.5000 0.0000
Mn3 Mn 0.5000 0.0000 0.0000
C1 C 0.0000 0.0000 0.0000
C2 C 0.0000 0.5000 0.5000
C3 C 0.5000 0.0000 0.5000
C4 C 0.5000 0.5000 0.0000
# - Calculated volume: 61 Å³/cell
# - Space-group type: No. 221
# - Mass density: 5.8 g/cm3

***

## 2
# Mn3C4, relaxed, DFT PBE-GGA
data_Mn3C4
_chemical_formula_sum 'Mn6 C8'
_cell_length_a 2.5927
_cell_length_b 2.5927
_cell_length_c 15.8341
_cell_angle_alpha 90.00
_cell_angle_beta 90.00
_cell_angle_gamma 90.00
_symmetry_space_group_name_H-M 'P 1'
_symmetry_Int_Tables_number 1
loop_
_symmetry_equiv_pos_as_xyz
'x,y,z'
loop_
_atom_site_label
_atom_site_type_symbol
_atom_site_fract_x
_atom_site_fract_y
_atom_site_fract_z
Mn1 Mn 0.0000 0.0000 0.0000
Mn2 Mn 0.0000 0.0000 0.3102
Mn3 Mn 0.0000 0.0000 0.6898
Mn4 Mn 0.5000 0.5000 0.1898
Mn5 Mn 0.5000 0.5000 0.5000
Mn6 Mn 0.5000 0.5000 0.8102
C1 C 0.0000 0.0000 0.1446
C2 C 0.0000 0.0000 0.4341
C3 C 0.0000 0.0000 0.5659
C4 C 0.0000 0.0000 0.8554
C5 C 0.5000 0.5000 0.0659
C6 C 0.5000 0.5000 0.3554
C7 C 0.5000 0.5000 0.6446
C8 C 0.5000 0.5000 0.9341
# - Calculated volume: 106 Å³/cell
# - Space-group type: No. 139
# - Mass density: 6.6 g/cm3

***

## 3
# Mn3C4, relaxed, DFT PBE-GGA
data_Mn3C4
_chemical_formula_sum 'Mn3 C4'
_cell_length_a 4.3663
_cell_length_b 4.3663
_cell_length_c 4.3663
_cell_angle_alpha 90.00
_cell_angle_beta 90.00
_cell_angle_gamma 90.00
_symmetry_space_group_name_H-M 'P 1'
_symmetry_Int_Tables_number 1
loop_
_symmetry_equiv_pos_as_xyz
'x,y,z'
loop_
_atom_site_label
_atom_site_type_symbol
_atom_site_fract_x
_atom_site_fract_y
_atom_site_fract_z
Mn1 Mn 0.0000 0.0000 0.5000
Mn2 Mn 0.0000 0.5000 0.0000
Mn3 Mn 0.5000 0.0000 0.0000
C1 C 0.2204 0.2204 0.2204
C2 C 0.2204 0.7796 0.7796
C3 C 0.7796 0.2204 0.7796
C4 C 0.7796 0.7796 0.2204
# - Calculated volume: 83 Å³/cell
# - Space-group type: No. 215
# - Mass density: 4.2 g/cm3

***

The structure with the most favorable energy is 1; the runner-up is 11.5 kJ/mol of atoms above it.

***

## 1
# Mn5C4, relaxed, DFT PBE-GGA
data_Mn5C4
_chemical_formula_sum 'Mn5 C4'
_cell_length_a 6.4100
_cell_length_b 6.4100
_cell_length_c 6.4100
_cell_angle_alpha 92.67
_cell_angle_beta 92.67
_cell_angle_gamma 155.06
_symmetry_space_group_name_H-M 'P 1'
_symmetry_Int_Tables_number 1
loop_
_symmetry_equiv_pos_as_xyz
'x,y,z'
loop_
_atom_site_label
_atom_site_type_symbol
_atom_site_fract_x
_atom_site_fract_y
_atom_site_fract_z
Mn1 Mn 0.0000 0.0000 0.0000
Mn2 Mn 0.3424 0.3424 0.6847
Mn3 Mn 0.3424 0.6576 0.0000
Mn4 Mn 0.6576 0.3424 0.0000
Mn5 Mn 0.6576 0.6576 0.3153
C1 C 0.0000 0.2179 0.2179
C2 C 0.0000 0.7821 0.7821
C3 C 0.2179 0.0000 0.2179
C4 C 0.7821 0.0000 0.7821
# - Calculated volume: 108 Å³/cell
# - Space-group type: No. 139
# - Mass density: 4.9 g/cm3

***

## 2
# Mn5C4, relaxed, DFT PBE-GGA
data_Mn5C4
_chemical_formula_sum 'Mn10 C8'
_cell_length_a 5.6852
_cell_length_b 5.6852
_cell_length_c 5.4864
_cell_angle_alpha 90.00
_cell_angle_beta 90.00
_cell_angle_gamma 120.00
_symmetry_space_group_name_H-M 'P 1'
_symmetry_Int_Tables_number 1
loop_
_symmetry_equiv_pos_as_xyz
'x,y,z'
loop_
_atom_site_label
_atom_site_type_symbol
_atom_site_fract_x
_atom_site_fract_y
_atom_site_fract_z
Mn1 Mn 0.0000 0.2472 0.2500
Mn2 Mn 0.0000 0.7528 0.7500
Mn3 Mn 0.2472 0.0000 0.2500
Mn4 Mn 0.2472 0.2472 0.7500
Mn5 Mn 0.3333 0.6667 0.0000
Mn6 Mn 0.3333 0.6667 0.5000
Mn7 Mn 0.6667 0.3333 0.0000
Mn8 Mn 0.6667 0.3333 0.5000
Mn9 Mn 0.7528 0.0000 0.7500
Mn10 Mn 0.7528 0.7528 0.2500
C1 C 0.0000 0.0000 0.0000
C2 C 0.0000 0.0000 0.5000
C3 C 0.0000 0.4139 0.7500
C4 C 0.0000 0.5861 0.2500
C5 C 0.4139 0.0000 0.7500
C6 C 0.4139 0.4139 0.2500
C7 C 0.5861 0.0000 0.2500
C8 C 0.5861 0.5861 0.7500
# - Calculated volume: 154 Å³/cell
# - Space-group type: No. 193
# - Mass density: 7.0 g/cm3

***

The structure with the most favorable energy is 2; the runner-up is 39.4 kJ/mol of atoms above it.

***

## 1
# MnMoC2, relaxed, DFT PBE-GGA
data_MnMoC2
_chemical_formula_sum 'Mn4 Mo4 C8'
_cell_length_a 5.2505
_cell_length_b 5.2505
_cell_length_c 5.2505
_cell_angle_alpha 90.00
_cell_angle_beta 90.00
_cell_angle_gamma 90.00
_symmetry_space_group_name_H-M 'P 1'
_symmetry_Int_Tables_number 1
loop_
_symmetry_equiv_pos_as_xyz
'x,y,z'
loop_
_atom_site_label
_atom_site_type_symbol
_atom_site_fract_x
_atom_site_fract_y
_atom_site_fract_z
Mn1 Mn 0.0000 0.0000 0.0000
Mn2 Mn 0.0000 0.5000 0.5000
Mn3 Mn 0.5000 0.0000 0.5000
Mn4 Mn 0.5000 0.5000 0.0000
Mo1 Mo 0.0000 0.0000 0.5000
Mo2 Mo 0.0000 0.5000 0.0000
Mo3 Mo 0.5000 0.0000 0.0000
Mo4 Mo 0.5000 0.5000 0.5000
C1 C 0.2500 0.2500 0.2500
C2 C 0.2500 0.2500 0.7500
C3 C 0.2500 0.7500 0.2500
C4 C 0.2500 0.7500 0.7500
C5 C 0.7500 0.2500 0.2500
C6 C 0.7500 0.2500 0.7500
C7 C 0.7500 0.7500 0.2500
C8 C 0.7500 0.7500 0.7500
# - Calculated volume: 145 Å³/cell
# - Space-group type: No. 225
# - Mass density: 8.0 g/cm3

***

## 2
# MnMoC2, relaxed, DFT PBE-GGA
data_MnMoC2
_chemical_formula_sum 'Mn4 Mo4 C8'
_cell_length_a 4.5703
_cell_length_b 4.5703
_cell_length_c 9.0368
_cell_angle_alpha 90.00
_cell_angle_beta 90.00
_cell_angle_gamma 90.00
_symmetry_space_group_name_H-M 'P 1'
_symmetry_Int_Tables_number 1
loop_
_symmetry_equiv_pos_as_xyz
'x,y,z'
loop_
_atom_site_label
_atom_site_type_symbol
_atom_site_fract_x
_atom_site_fract_y
_atom_site_fract_z
Mn1 Mn 0.0000 0.0000 0.0000
Mn2 Mn 0.0000 0.5000 0.2500
Mn3 Mn 0.5000 0.0000 0.7500
Mn4 Mn 0.5000 0.5000 0.5000
Mo1 Mo 0.0000 0.0000 0.5000
Mo2 Mo 0.0000 0.5000 0.7500
Mo3 Mo 0.5000 0.0000 0.2500
Mo4 Mo 0.5000 0.5000 0.0000
C1 C 0.2326 0.2500 0.1250
C2 C 0.2500 0.7326 0.3750
C3 C 0.2500 0.7674 0.8750
C4 C 0.2674 0.2500 0.6250
C5 C 0.7326 0.7500 0.6250
C6 C 0.7500 0.2326 0.8750
C7 C 0.7500 0.2674 0.3750
C8 C 0.7674 0.7500 0.1250
# - Calculated volume: 189 Å³/cell
# - Space-group type: No. 122
# - Mass density: 6.2 g/cm3

***

The structure with the most favorable energy is 2; the runner-up is 31.1 kJ/mol of atoms above it.

***

## 1
# MnMoC3, relaxed, DFT PBE-GGA
data_MnMoC3
_chemical_formula_sum 'Mn1 Mo1 C3'
_cell_length_a 4.0220
_cell_length_b 4.0220
_cell_length_c 4.0220
_cell_angle_alpha 90.00
_cell_angle_beta 90.00
_cell_angle_gamma 90.00
_symmetry_space_group_name_H-M 'P 1'
_symmetry_Int_Tables_number 1
loop_
_symmetry_equiv_pos_as_xyz
'x,y,z'
loop_
_atom_site_label
_atom_site_type_symbol
_atom_site_fract_x
_atom_site_fract_y
_atom_site_fract_z
Mn1 Mn 0.0000 0.0000 0.0000
Mo1 Mo 0.5000 0.5000 0.5000
C1 C 0.0000 0.5000 0.5000
C2 C 0.5000 0.0000 0.5000
C3 C 0.5000 0.5000 0.0000
# - Calculated volume: 65 Å³/cell
# - Space-group type: No. 221
# - Mass density: 4.8 g/cm3

***

## 2
# MnMoC3, relaxed, DFT PBE-GGA
data_MnMoC3
_chemical_formula_sum 'Mn1 Mo1 C3'
_cell_length_a 3.6920
_cell_length_b 3.6920
_cell_length_c 3.6920
_cell_angle_alpha 90.00
_cell_angle_beta 90.00
_cell_angle_gamma 90.00
_symmetry_space_group_name_H-M 'P 1'
_symmetry_Int_Tables_number 1
loop_
_symmetry_equiv_pos_as_xyz
'x,y,z'
loop_
_atom_site_label
_atom_site_type_symbol
_atom_site_fract_x
_atom_site_fract_y
_atom_site_fract_z
Mn1 Mn 0.0000 0.0000 0.0000
Mo1 Mo 0.5000 0.5000 0.5000
C1 C 0.0000 0.0000 0.5000
C2 C 0.0000 0.5000 0.0000
C3 C 0.5000 0.0000 0.0000
# - Calculated volume: 50 Å³/cell
# - Space-group type: No. 221
# - Mass density: 6.2 g/cm3

***

The structure with the most favorable energy is 2; the runner-up is 45.4 kJ/mol of atoms above it.

***

## 1
# Mn2TcMoC, relaxed, DFT PBE-GGA
data_Mn2TcMoC
_chemical_formula_sum 'Mn2 Tc1 Mo1 C1'
_cell_length_a 3.8143
_cell_length_b 3.8143
_cell_length_c 4.0982
_cell_angle_alpha 90.00
_cell_angle_beta 90.00
_cell_angle_gamma 90.00
_symmetry_space_group_name_H-M 'P 1'
_symmetry_Int_Tables_number 1
loop_
_symmetry_equiv_pos_as_xyz
'x,y,z'
loop_
_atom_site_label
_atom_site_type_symbol
_atom_site_fract_x
_atom_site_fract_y
_atom_site_fract_z
Mn1 Mn 0.0000 0.5000 0.0000
Mn2 Mn 0.5000 0.0000 0.0000
Tc1 Tc 0.0000 0.0000 0.5000
Mo1 Mo 0.5000 0.5000 0.5000
C1 C 0.5000 0.5000 0.0000
# - Calculated volume: 60 Å³/cell
# - Space-group type: No. 123
# - Mass density: 8.8 g/cm3

***

## 2
# Mn2TcMoC, relaxed, DFT PBE-GGA
data_Mn2TcMoC
_chemical_formula_sum 'Mn2 Tc1 Mo1 C1'
_cell_length_a 3.8281
_cell_length_b 3.8281
_cell_length_c 4.0256
_cell_angle_alpha 90.00
_cell_angle_beta 90.00
_cell_angle_gamma 90.00
_symmetry_space_group_name_H-M 'P 1'
_symmetry_Int_Tables_number 1
loop_
_symmetry_equiv_pos_as_xyz
'x,y,z'
loop_
_atom_site_label
_atom_site_type_symbol
_atom_site_fract_x
_atom_site_fract_y
_atom_site_fract_z
Mn1 Mn 0.0000 0.5000 0.0000
Mn2 Mn 0.5000 0.0000 0.0000
Tc1 Tc 0.0000 0.0000 0.5000
Mo1 Mo 0.5000 0.5000 0.5000
C1 C 0.0000 0.0000 0.0000
# - Calculated volume: 59 Å³/cell
# - Space-group type: No. 123
# - Mass density: 8.9 g/cm3

***

The structure with the most favorable energy is 2; the runner-up is 4.3 kJ/mol of atoms above it.

***

## 1
# Mn2CN2, relaxed, DFT PBE-GGA
data_Mn2CN2
_chemical_formula_sum 'Mn4 C2 N4'
_cell_length_a 3.5937
_cell_length_b 3.5937
_cell_length_c 6.0518
_cell_angle_alpha 90.00
_cell_angle_beta 90.00
_cell_angle_gamma 90.00
_symmetry_space_group_name_H-M 'P 1'
_symmetry_Int_Tables_number 1
loop_
_symmetry_equiv_pos_as_xyz
'x,y,z'
loop_
_atom_site_label
_atom_site_type_symbol
_atom_site_fract_x
_atom_site_fract_y
_atom_site_fract_z
Mn1 Mn 0.0000 0.5000 0.2500
Mn2 Mn 0.0000 0.5000 0.7500
Mn3 Mn 0.5000 0.0000 0.2500
Mn4 Mn 0.5000 0.0000 0.7500
C1 C 0.0000 0.0000 0.0000
C2 C 0.5000 0.5000 0.5000
N1 N 0.0000 0.0000 0.3886
N2 N 0.0000 0.0000 0.6114
N3 N 0.5000 0.5000 0.1114
N4 N 0.5000 0.5000 0.8886
# - Calculated volume: 78 Å³/cell
# - Space-group type: No. 139
# - Mass density: 6.4 g/cm3

***

## 2
# Mn2CN2, relaxed, DFT PBE-GGA
data_Mn2CN2
_chemical_formula_sum 'Mn4 C2 N4'
_cell_length_a 5.6266
_cell_length_b 5.6266
_cell_length_c 2.4947
_cell_angle_alpha 90.00
_cell_angle_beta 90.00
_cell_angle_gamma 90.00
_symmetry_space_group_name_H-M 'P 1'
_symmetry_Int_Tables_number 1
loop_
_symmetry_equiv_pos_as_xyz
'x,y,z'
loop_
_atom_site_label
_atom_site_type_symbol
_atom_site_fract_x
_atom_site_fract_y
_atom_site_fract_z
Mn1 Mn 0.1656 0.3344 0.0000
Mn2 Mn 0.3344 0.8344 0.0000
Mn3 Mn 0.6656 0.1656 0.0000
Mn4 Mn 0.8344 0.6656 0.0000
C1 C 0.0000 0.0000 0.5000
C2 C 0.5000 0.5000 0.5000
N1 N 0.1411 0.6411 0.5000
N2 N 0.3589 0.1411 0.5000
N3 N 0.6411 0.8589 0.5000
N4 N 0.8589 0.3589 0.5000
# - Calculated volume: 79 Å³/cell
# - Space-group type: No. 127
# - Mass density: 6.3 g/cm3

***

The structure with the most favorable energy is 1; the runner-up is 48.9 kJ/mol of atoms above it.

***

## 1
# MnPRuCN, relaxed, DFT PBE-GGA
data_MnPRuCN
_chemical_formula_sum 'Mn2 P2 Ru2 C2 N2'
_cell_length_a 10.3904
_cell_length_b 2.8600
_cell_length_c 4.3046
_cell_angle_alpha 90.00
_cell_angle_beta 102.25
_cell_angle_gamma 90.00
_symmetry_space_group_name_H-M 'P 1'
_symmetry_Int_Tables_number 1
loop_
_symmetry_equiv_pos_as_xyz
'x,y,z'
loop_
_atom_site_label
_atom_site_type_symbol
_atom_site_fract_x
_atom_site_fract_y
_atom_site_fract_z
Mn1 Mn 0.0000 0.0000 0.0000
Mn2 Mn 0.5000 0.5000 0.0000
P1 P 0.1130 0.5000 0.3971
P2 P 0.6130 0.0000 0.3971
Ru1 Ru 0.2386 0.5000 0.9383
Ru2 Ru 0.7386 0.0000 0.9383
C1 C 0.3649 0.0000 0.0121
C2 C 0.8649 0.5000 0.0121
N1 N 0.0423 0.5000 0.7217
N2 N 0.5423 0.0000 0.7217
# - Calculated volume: 125 Å³/cell
# - Space-group type: No. 8
# - Mass density: 5.7 g/cm3

***

## 2
# MnPRuCN, relaxed, DFT PBE-GGA
data_MnPRuCN
_chemical_formula_sum 'Mn1 P1 Ru1 C1 N1'
_cell_length_a 2.7752
_cell_length_b 3.9271
_cell_length_c 5.2414
_cell_angle_alpha 103.32
_cell_angle_beta 105.31
_cell_angle_gamma 90.01
_symmetry_space_group_name_H-M 'P 1'
_symmetry_Int_Tables_number 1
loop_
_symmetry_equiv_pos_as_xyz
'x,y,z'
loop_
_atom_site_label
_atom_site_type_symbol
_atom_site_fract_x
_atom_site_fract_y
_atom_site_fract_z
Mn1 Mn 0.0000 0.0000 0.0000
P1 P 0.4874 0.5360 0.9745
Ru1 Ru 0.7246 0.9249 0.4448
C1 C 0.3657 0.1278 0.7283
N1 N 0.6241 0.3312 0.2464
# - Calculated volume: 54 Å³/cell
# - Space-group type: No. 1
# - Mass density: 6.6 g/cm3

***

The structure with the most favorable energy is 1; the runner-up is 14.1 kJ/mol of atoms above it.

***

## 1
# MnPRuCN, relaxed, DFT PBE-GGA
data_MnPRuCN
_chemical_formula_sum 'Mn1 P1 Ru1 C1 N1'
_cell_length_a 2.7733
_cell_length_b 3.4075
_cell_length_c 6.6063
_cell_angle_alpha 84.05
_cell_angle_beta 77.94
_cell_angle_gamma 68.30
_symmetry_space_group_name_H-M 'P 1'
_symmetry_Int_Tables_number 1
loop_
_symmetry_equiv_pos_as_xyz
'x,y,z'
loop_
_atom_site_label
_atom_site_type_symbol
_atom_site_fract_x
_atom_site_fract_y
_atom_site_fract_z
Mn1 Mn 0.0000 0.0000 0.0000
P1 P 0.2411 0.0922 0.4465
Ru1 Ru 0.4502 0.5014 0.6510
C1 C 0.8029 0.5642 0.8871
N1 N 0.3653 0.0870 0.1951
# - Calculated volume: 57 Å³/cell
# - Space-group type: No. 1
# - Mass density: 6.2 g/cm3

***

## 2
# MnPRuCN, relaxed, DFT PBE-GGA
data_MnPRuCN
_chemical_formula_sum 'Mn1 P1 Ru1 C1 N1'
_cell_length_a 2.7001
_cell_length_b 2.7772
_cell_length_c 6.7951
_cell_angle_alpha 90.00
_cell_angle_beta 90.00
_cell_angle_gamma 90.00
_symmetry_space_group_name_H-M 'P 1'
_symmetry_Int_Tables_number 1
loop_
_symmetry_equiv_pos_as_xyz
'x,y,z'
loop_
_atom_site_label
_atom_site_type_symbol
_atom_site_fract_x
_atom_site_fract_y
_atom_site_fract_z
Mn1 Mn 0.0000 0.0000 0.0000
P1 P 0.5000 0.5000 0.3877
Ru1 Ru 0.5000 0.0000 0.6564
C1 C 0.5000 0.5000 0.8945
N1 N 0.0000 0.5000 0.2343
# - Calculated volume: 51 Å³/cell
# - Space-group type: No. 25
# - Mass density: 6.9 g/cm3

***

## 3
# MnPRuCN, relaxed, DFT PBE-GGA
data_MnPRuCN
_chemical_formula_sum 'Mn2 P2 Ru2 C2 N2'
_cell_length_a 2.9460
_cell_length_b 2.7007
_cell_length_c 14.0285
_cell_angle_alpha 90.00
_cell_angle_beta 90.00
_cell_angle_gamma 90.00
_symmetry_space_group_name_H-M 'P 1'
_symmetry_Int_Tables_number 1
loop_
_symmetry_equiv_pos_as_xyz
'x,y,z'
loop_
_atom_site_label
_atom_site_type_symbol
_atom_site_fract_x
_atom_site_fract_y
_atom_site_fract_z
Mn1 Mn 0.0000 0.0000 0.0000
Mn2 Mn 0.0000 0.5000 0.5000
P1 P 0.0000 0.0000 0.7128
P2 P 0.0000 0.5000 0.2128
Ru1 Ru 0.5000 0.0000 0.8402
Ru2 Ru 0.5000 0.5000 0.3402
C1 C 0.5000 0.0000 0.4529
C2 C 0.5000 0.5000 0.9529
N1 N 0.0000 0.0000 0.1403
N2 N 0.0000 0.5000 0.6403
# - Calculated volume: 112 Å³/cell
# - Space-group type: No. 38
# - Mass density: 6.3 g/cm3

***

The structure with the most favorable energy is 3; the runner-up is 2.5 kJ/mol of atoms above it.